# 1
VASP calculation (PBE-GGA) on crystalline YTmGa4Ir2 at its relaxed geometry.

Energy relative to the lowest polymorph listed for this composition: 0 meV per atom
Volume: 145.5 Å³ per cell
Total energy: -46.798 eV per cell

Cell lengths 6.6864, 5.4807, 5.4807 Å; angles 46.44, 90.00, 90.00 degrees
Positions (direct):
1 Ir 0.0000 0.7961 0.7961
2 Ir 0.5000 0.2039 0.2039
3 Ga 0.1971 0.3676 0.3676
4 Ga 0.8029 0.3676 0.3676
5 Ga 0.3047 0.6330 0.6330
6 Ga 0.6953 0.6330 0.6330
7 Tm 0.5000 0.9151 0.9151
8 Y 0.0000 0.0838 0.0838

# 2
VASP calculation (PBE-GGA) on crystalline YTmGa4Ir2 at its relaxed geometry.

Energy relative to the lowest polymorph listed for this composition: 5 meV per atom
Volume: 149.8 Å³ per cell
Total energy: -46.761 eV per cell

Cell lengths 4.1746, 7.0751, 5.4813 Å; angles 90.00, 112.32, 90.00 degrees
Positions (direct):
1 Ir 0.2130 0.5000 0.4286
2 Ir 0.7878 0.0000 0.5725
3 Ga 0.3575 0.1978 0.7126
4 Ga 0.6419 0.2998 0.2861
5 Ga 0.6419 0.7002 0.2861
6 Ga 0.3575 0.8022 0.7126
7 Tm 0.0712 0.0000 0.1422
8 Y 0.9292 0.5000 0.8594

# 3
VASP calculation (PBE-GGA) on crystalline TmZn2GaIr4 at its relaxed geometry.

Volume: 122.4 Å³ per cell
Total energy: -48.892 eV per cell

Cell lengths 4.3889, 4.3889, 6.3518 Å; angles 90.00, 90.00, 90.00 degrees
Positions (direct):
1 Tm 0.5000 0.5000 0.5000
2 Ga 0.0000 0.0000 0.0000
3 Ir 0.5000 0.0000 0.2282
4 Ir 0.0000 0.5000 0.7719
5 Ir 0.0000 0.5000 0.2282
6 Ir 0.5000 0.0000 0.7719
7 Zn 0.5000 0.5000 0.0000
8 Zn 0.0000 0.0000 0.5000

Question: What is the total energy in the second record?
Answer: -46.761 eV per cell